Computed, not measured: crystalline Pm2In3Pt4 at its relaxed geometry at the PBE level of DFT.

Lattice parameters (Å, degrees): 8.9885 8.9885 7.6113 90.00 90.00 141.47
Last column: nearest neighbours and their distance in Å.
Atoms (fractional coordinates):
1 Pm 0.1013 0.8987 0.9089  5 Pt 3.04-3.20, 2 In 3.36
2 Pm 0.3987 0.6013 0.4089  5 Pt 3.04-3.20, 2 In 3.36
3 Pm 0.6013 0.3987 0.5911  5 Pt 3.04-3.20, 2 In 3.36
4 Pm 0.8987 0.1013 0.0911  5 Pt 3.04-3.20, 2 In 3.36
5 In 0.0000 0.0000 0.5000  6 Pt 2.69-2.82
6 In 0.0143 0.4857 0.7500  5 Pt 2.80-2.84, 2 In 2.97
7 In 0.4857 0.0143 0.2500  5 Pt 2.80-2.84, 2 In 2.97
8 In 0.5000 0.5000 0.0000  6 Pt 2.69-2.82
9 In 0.5143 0.9857 0.7500  5 Pt 2.80-2.84, 2 In 2.97
10 In 0.9857 0.5143 0.2500  5 Pt 2.80-2.84, 2 In 2.97
11 Pt 0.1657 0.8343 0.5278  5 In 2.80-2.84, 2 Pt 3.05, 1 Pm 3.10
12 Pt 0.1801 0.3199 0.7500  3 In 2.69-2.81, 2 Pt 2.97
13 Pt 0.3199 0.1801 0.2500  3 In 2.69-2.81, 2 Pt 2.97
14 Pt 0.3343 0.6657 0.0278  5 In 2.80-2.84, 2 Pt 3.05, 1 Pm 3.10
15 Pt 0.6657 0.3343 0.9722  5 In 2.80-2.84, 2 Pt 3.05, 1 Pm 3.10
16 Pt 0.6801 0.8199 0.7500  3 In 2.69-2.81, 2 Pt 2.97
17 Pt 0.8199 0.6801 0.2500  3 In 2.69-2.81, 2 Pt 2.97
18 Pt 0.8343 0.1657 0.4722  5 In 2.80-2.84, 2 Pt 3.05, 1 Pm 3.10

- DFT formation energy (eV/atom) = -0.81
- space group = Cmce, No. 64
- total magnetic moment (μB/atom) = 0.000
- final energy (eV/atom) = -5.465
- N(E_F) (states/eV/f.u.) = 5.37


Computed, not measured: crystalline PmIn2Pt at its relaxed geometry at the PBE level of DFT.

Lattice parameters (Å, degrees): 4.5400 10.7672 7.5668 90.00 90.00 90.00
Last column: nearest neighbours and their distance in Å.
Atoms (fractional coordinates):
1 Pm 0.0000 0.0754 0.2500  3 Pt 3.09-3.23, 6 In 3.28-3.44
2 Pm 0.0000 0.9246 0.7500  3 Pt 3.09-3.23, 6 In 3.28-3.44
3 Pm 0.5000 0.4246 0.7500  3 Pt 3.09-3.23, 6 In 3.28-3.44
4 Pm 0.5000 0.5754 0.2500  3 Pt 3.09-3.23, 6 In 3.28-3.44
5 In 0.0000 0.3623 0.0501  3 Pt 2.79-2.84, 2 In 3.02-3.06
6 In 0.0000 0.3623 0.4499  3 Pt 2.79-2.84, 2 In 3.02-3.06
7 In 0.0000 0.6377 0.5501  3 Pt 2.79-2.84, 2 In 3.02-3.06
8 In 0.0000 0.6377 0.9499  3 Pt 2.79-2.84, 2 In 3.02-3.06
9 In 0.5000 0.1377 0.5501  3 Pt 2.79-2.84, 2 In 3.02-3.06
10 In 0.5000 0.1377 0.9499  3 Pt 2.79-2.84, 2 In 3.02-3.06
11 In 0.5000 0.8623 0.0501  3 Pt 2.79-2.84, 2 In 3.02-3.06
12 In 0.5000 0.8623 0.4499  3 Pt 2.79-2.84, 2 In 3.02-3.06
13 Pt 0.0000 0.2112 0.7500  6 In 2.79-2.84, 1 Pm 3.09
14 Pt 0.0000 0.7888 0.2500  6 In 2.79-2.84, 1 Pm 3.09
15 Pt 0.5000 0.2888 0.2500  6 In 2.79-2.84, 1 Pm 3.09
16 Pt 0.5000 0.7112 0.7500  6 In 2.79-2.84, 1 Pm 3.09

- DFT formation energy (eV/atom) = -0.75
- space group = Cmcm, No. 63
- total magnetic moment (μB/atom) = 0.000
- final energy (eV/atom) = -4.819
- N(E_F) (states/eV/f.u.) = 2.63


Computed, not measured: crystalline Pm4In5Pt6 at its relaxed geometry at the PBE level of DFT.

Lattice parameters (Å, degrees): 11.1161 11.1161 15.0050 90.00 90.00 158.42
Last column: nearest neighbours and their distance in Å.
Atoms (fractional coordinates):
1 Pm 0.0237 0.9763 0.5000  7 Pt 3.01-3.24
2 Pm 0.0558 0.9442 0.7723  6 Pt 3.14-3.17, 4 In 3.31-3.46
3 Pm 0.1330 0.8670 0.2805  6 Pt 2.91-3.17
4 Pm 0.1772 0.8228 0.9427  6 Pt 2.84-3.02
5 Pm 0.8228 0.1772 0.4427  6 Pt 2.84-3.02
6 Pm 0.8670 0.1330 0.7805  6 Pt 2.91-3.17
7 Pm 0.9442 0.0558 0.2723  6 Pt 3.14-3.17, 4 In 3.31-3.46
8 Pm 0.9763 0.0237 0.0000  7 Pt 3.01-3.24
9 In 0.1783 0.8217 0.6111  3 Pt 2.79, 1 In 3.00
10 In 0.3156 0.6844 0.6150  3 Pt 2.82, 1 In 3.00
11 In 0.3175 0.6825 0.2718  3 Pt 2.77-2.93
12 In 0.3530 0.6470 0.9511  4 Pt 2.74-2.86
13 In 0.4680 0.5320 0.6578  4 Pt 2.72-2.85
14 In 0.5320 0.4680 0.1578  4 Pt 2.72-2.85
15 In 0.6470 0.3530 0.4511  4 Pt 2.74-2.86
16 In 0.6825 0.3175 0.7718  3 Pt 2.77-2.93
17 In 0.6844 0.3156 0.1150  3 Pt 2.82, 1 In 3.00
18 In 0.8217 0.1783 0.1111  3 Pt 2.79, 1 In 3.00
19 Pt 0.0984 0.9016 0.0930  4 In 2.72-2.82, 3 Pm 2.84-3.01
20 Pt 0.2282 0.7718 0.4402  3 In 2.74-2.79, 2 Pm 2.93
21 Pt 0.2654 0.7346 0.7879  3 In 2.77-2.82, 3 Pm 3.02-3.04, 2 Pt 3.09
22 Pt 0.4063 0.5937 0.1254  5 In 2.79-2.93
23 Pt 0.4214 0.5786 0.4285  1 Pt 2.85, 4 Pm 3.00-3.17
24 Pt 0.4608 0.5392 0.8476  2 In 2.82-2.85, 1 Pt 2.85, 6 Pm 3.09-3.15
25 Pt 0.5392 0.4608 0.3476  2 In 2.82-2.85, 1 Pt 2.85, 6 Pm 3.09-3.15
26 Pt 0.5786 0.4214 0.9285  1 Pt 2.85, 4 Pm 3.00-3.17
27 Pt 0.5937 0.4063 0.6254  5 In 2.79-2.93
28 Pt 0.7346 0.2654 0.2879  3 In 2.77-2.82, 3 Pm 3.02-3.04, 2 Pt 3.09
29 Pt 0.7718 0.2282 0.9402  3 In 2.74-2.79, 2 Pm 2.93
30 Pt 0.9016 0.0984 0.5930  4 In 2.72-2.82, 3 Pm 2.84-3.01

- DFT formation energy (eV/atom) = -0.82
- space group = Cmc2_1, No. 36
- total magnetic moment (μB/atom) = 0.000
- final energy (eV/atom) = -5.419
- N(E_F) (states/eV/f.u.) = 8.58


Computed, not measured: crystalline Pm5In2Pt at its relaxed geometry at the PBE level of DFT.

Lattice parameters (Å, degrees): 7.6068 12.7402 4.9132 90.00 90.00 90.00
Last column: nearest neighbours and their distance in Å.
Atoms (fractional coordinates):
1 Pm 0.0000 0.0000 0.0000  4 In 3.30, 4 Pm 3.59
2 Pm 0.1324 0.2894 0.0000  1 Pt 2.87
3 Pm 0.1811 0.5766 0.5000  2 Pt 2.98, 1 In 3.29
4 Pm 0.3189 0.0766 0.5000  2 Pt 2.98, 1 In 3.29
5 Pm 0.3676 0.7894 0.0000  1 Pt 2.87
6 Pm 0.5000 0.5000 0.0000  4 In 3.30, 4 Pm 3.59
7 Pm 0.6324 0.2106 0.0000  1 Pt 2.87
8 Pm 0.6811 0.9234 0.5000  2 Pt 2.98, 1 In 3.29
9 Pm 0.8189 0.4234 0.5000  2 Pt 2.98, 1 In 3.29
10 Pm 0.8676 0.7106 0.0000  1 Pt 2.87
11 In 0.0876 0.8353 0.5000  9 Pm 3.29-3.54
12 In 0.4124 0.3353 0.5000  9 Pm 3.29-3.54
13 In 0.5876 0.6647 0.5000  9 Pm 3.29-3.54
14 In 0.9124 0.1647 0.5000  9 Pm 3.29-3.54
15 Pt 0.0000 0.5000 0.0000  6 Pm 2.87-2.98
16 Pt 0.5000 0.0000 0.0000  6 Pm 2.87-2.98

- DFT formation energy (eV/atom) = -0.55
- space group = Pbam, No. 55
- total magnetic moment (μB/atom) = 0.000
- final energy (eV/atom) = -4.960
- N(E_F) (states/eV/f.u.) = 7.90


Computed, not measured: crystalline Pm8In2Pt3 at its relaxed geometry at the PBE level of DFT.

Lattice parameters (Å, degrees): 9.1402 9.1402 5.0583 90.00 90.00 111.99
Last column: nearest neighbours and their distance in Å.
Atoms (fractional coordinates):
1 Pm 0.1141 0.8859 0.0000  2 Pt 3.01, 2 In 3.22
2 Pm 0.1381 0.3692 0.5000  3 Pt 3.07-3.08, 2 In 3.26-3.28
3 Pm 0.3692 0.1381 0.5000  3 Pt 3.07-3.08, 2 In 3.26-3.28
4 Pm 0.3852 0.6148 0.0000  4 Pt 3.07-3.17, 2 In 3.30
5 Pm 0.6148 0.3852 0.0000  4 Pt 3.07-3.17, 2 In 3.30
6 Pm 0.6308 0.8619 0.5000  3 Pt 3.07-3.08, 2 In 3.26-3.28
7 Pm 0.8619 0.6308 0.5000  3 Pt 3.07-3.08, 2 In 3.26-3.28
8 Pm 0.8859 0.1141 0.0000  2 Pt 3.01, 2 In 3.22
9 In 0.2457 0.7543 0.5000  8 Pm 3.22-3.30
10 In 0.7543 0.2457 0.5000  8 Pm 3.22-3.30
11 Pt 0.2406 0.2406 0.0000  8 Pm 3.01-3.17
12 Pt 0.5000 0.5000 0.5000  8 Pm 3.07
13 Pt 0.7594 0.7594 0.0000  8 Pm 3.01-3.17

- DFT formation energy (eV/atom) = -0.57
- space group = Cmmm, No. 65
- total magnetic moment (μB/atom) = 0.000
- final energy (eV/atom) = -5.310
- N(E_F) (states/eV/f.u.) = 12.98


Computed, not measured: crystalline Pm3In2Pt4 at its relaxed geometry at the PBE level of DFT.

Lattice parameters (Å, degrees): 6.3198 6.3198 9.1834 116.04 116.04 39.77
Last column: nearest neighbours and their distance in Å.
Atoms (fractional coordinates):
1 Pm 0.0000 0.0000 0.0000  4 Pt 3.11
2 Pm 0.3653 0.3653 0.2988  7 Pt 3.00-3.19, 2 In 3.32
3 Pm 0.6347 0.6347 0.7012  7 Pt 3.00-3.19, 2 In 3.32
4 In 0.3344 0.3344 0.6674  4 Pt 2.70-2.89
5 In 0.6656 0.6656 0.3326  4 Pt 2.70-2.89
6 Pt 0.0714 0.0714 0.4173  3 In 2.70-2.89, 1 Pt 2.76
7 Pt 0.2931 0.2931 0.9385  1 In 2.75, 2 Pt 2.83, 3 Pm 3.00-3.01
8 Pt 0.7069 0.7069 0.0615  1 In 2.75, 2 Pt 2.83, 3 Pm 3.00-3.01
9 Pt 0.9286 0.9286 0.5827  3 In 2.70-2.89, 1 Pt 2.76

- DFT formation energy (eV/atom) = -0.95
- space group = C2/m, No. 12
- total magnetic moment (μB/atom) = 0.000
- final energy (eV/atom) = -5.825
- N(E_F) (states/eV/f.u.) = 6.49